Entry from Alexandria: a relaxed Na2B2H7 crystal (PBE).

Lattice parameters (Å, degrees): 4.4359 11.1414 5.3881 90.00 127.06 90.00
Closest atoms and distances in Å follow each position.
Space group P2_1/c (No. 14)
One atom of each set of equivalent atoms:
Na 0.1583 0.1389 0.2678 x4  9 H 2.35-2.54
B 0.0421 0.6074 0.8428 x4  3 H 1.22-1.23
H 0.0000 0.0000 0.5000 x2  2 B 1.54
H 0.2114 0.6830 0.0492 x4  1 B 1.23
H 0.2298 0.5711 0.7607 x4  1 B 1.22
H 0.2800 0.1372 0.8710 x4  1 B 1.22

Values from the calculation:
As for the total energy: -3.73 eV/atom.